Entry 1:
A plane-wave DFT calculation with PBE was carried out for a geometry-optimized Ba2YAl structure.

The magnetic moment comes out at 0.00 μB per cell. Its formation energy is -0.038 eV per atom.

It has space group P4mm (No. 99), with a = 3.9566 Å, b = 3.9566 Å, c = 10.3253 Å, α = 90.00°, β = 90.00° and γ = 90.00°. The asymmetric unit holds Ba at (0.0000, 0.0000, 0.0000), Ba at (0.5000, 0.5000, 0.3649), Y at (0.0000, 0.0000, 0.6461) and Al at (0.5000, 0.5000, 0.7773).

=====

Entry 2:
A plane-wave DFT calculation with PBE was carried out for a geometry-optimized Ba2YAl structure.

The magnetic moment comes out at 0.00 μB per cell. Its formation energy is 0.218 eV per atom.

It has space group Cmmm (No. 65), with a = 8.1720 Å, b = 8.7599 Å, c = 4.2961 Å, α = 90.00°, β = 90.00° and γ = 90.00°. The asymmetric unit holds Ba at (0.2500, 0.2500, 0.0000), Y at (0.0000, 0.0000, 0.5000) and Al at (0.0000, 0.5000, 0.5000).

=====

Entry 3:
A plane-wave DFT calculation with PBE was carried out for a geometry-optimized BaYAl4 structure.

The magnetic moment comes out at 0.00 μB per cell. Its formation energy is -0.280 eV per atom.

It has space group F-43m (No. 216), with a = 8.1871 Å, b = 8.1871 Å, c = 8.1871 Å, α = 90.00°, β = 90.00° and γ = 90.00°. The asymmetric unit holds Ba at (0.0000, 0.0000, 0.0000), Y at (0.2500, 0.2500, 0.7500) and Al at (0.1243, 0.1243, 0.3757).

=====

Entry 4:
A plane-wave DFT calculation with PBE was carried out for a geometry-optimized BaY3Al structure.

As for the polymorph energy (0 for the lowest one): 0.0 meV per atom. The magnetic moment comes out at 0.00 μB per cell. Its formation energy is 0.186 eV per atom.

It has space group Pm-3m (No. 221), with a = 5.7306 Å, b = 5.7306 Å, c = 5.7306 Å, α = 90.00°, β = 90.00° and γ = 90.00°. The asymmetric unit holds Ba at (0.0000, 0.0000, 0.0000), Y at (0.0000, 0.5000, 0.5000) and Al at (0.5000, 0.5000, 0.5000).

=====

Entry 5:
A plane-wave DFT calculation with PBE was carried out for a geometry-optimized BaY2Al2 structure.

As for the polymorph energy (0 for the lowest one): 0.0 meV per atom. The magnetic moment comes out at 0.00 μB per cell. Its formation energy is -0.183 eV per atom.

It has space group P4/mbm (No. 127), with a = 9.1901 Å, b = 9.1901 Å, c = 3.4034 Å, α = 90.00°, β = 90.00° and γ = 90.00°. The asymmetric unit holds Ba at (0.0000, 0.0000, 0.0000), Y at (0.1274, 0.3726, 0.0000) and Al at (0.1695, 0.6695, 0.5000).

=====

Entry 6:
A plane-wave DFT calculation with PBE was carried out for a geometry-optimized Ba2Y2Al structure.

As for the polymorph energy (0 for the lowest one): 0.0 meV per atom. The magnetic moment comes out at 0.00 μB per cell. Its formation energy is 0.188 eV per atom.

It has space group P4/mbm (No. 127), with a = 8.0951 Å, b = 8.0951 Å, c = 6.0465 Å, α = 90.00°, β = 90.00° and γ = 90.00°. The asymmetric unit holds Ba at (0.1712, 0.3288, 0.0000), Y at (0.1529, 0.6529, 0.5000) and Al at (0.0000, 0.0000, 0.5000).

=====

Entry 7:
A plane-wave DFT calculation with PBE was carried out for a geometry-optimized BaYAl structure.

As for the polymorph energy (0 for the lowest one): 360.3 meV per atom. The magnetic moment comes out at 0.00 μB per cell. Its formation energy is 0.175 eV per atom.

It has space group F-43m (No. 216), with a = 7.7136 Å, b = 7.7136 Å, c = 7.7136 Å, α = 90.00°, β = 90.00° and γ = 90.00°. The asymmetric unit holds Ba at (0.0000, 0.0000, 0.0000), Y at (0.0000, 0.0000, 0.5000) and Al at (0.2500, 0.2500, 0.7500).

=====

Entry 8:
A plane-wave DFT calculation with PBE was carried out for a geometry-optimized Ba2YAl structure.

The magnetic moment comes out at 0.00 μB per cell. Its formation energy is 0.124 eV per atom.

It has space group R3m (No. 160, hexagonal axes), with a = 4.0250 Å, b = 4.0250 Å, c = 35.5745 Å, α = 90.00°, β = 90.00° and γ = 120.00°. The asymmetric unit holds Ba at (0.0000, 0.0000, 0.0000), Ba at (0.0000, 0.0000, 0.2219), Y at (0.0000, 0.0000, 0.7607) and Al at (0.0000, 0.0000, 0.4843).

=====

Entry 9:
A plane-wave DFT calculation with PBE was carried out for a geometry-optimized Ba2YAl structure.

The magnetic moment comes out at 0.00 μB per cell. Its formation energy is 0.352 eV per atom.

It has space group I-42d (No. 122), with a = 9.7530 Å, b = 9.7530 Å, c = 6.7774 Å, α = 90.00°, β = 90.00° and γ = 90.00°. The asymmetric unit holds Ba at (0.2090, 0.7500, 0.1250), Y at (0.0000, 0.0000, 0.5000) and Al at (0.0000, 0.0000, 0.0000).

=====

Entry 10:
A plane-wave DFT calculation with PBE was carried out for a geometry-optimized BaY2Al2 structure.

As for the polymorph energy (0 for the lowest one): 249.3 meV per atom. The magnetic moment comes out at 1.86 μB per cell. Its formation energy is 0.066 eV per atom.

It has space group I4/mmm (No. 139), with a = 5.4192 Å, b = 5.4192 Å, c = 11.8848 Å, α = 90.00°, β = 90.00° and γ = 90.00°. The asymmetric unit holds Ba at (0.0000, 0.0000, 0.0000), Y at (0.0000, 0.0000, 0.3422) and Al at (0.0000, 0.5000, 0.2500).

=====

Entry 11:
A plane-wave DFT calculation with PBE was carried out for a geometry-optimized BaYAl structure.

As for the polymorph energy (0 for the lowest one): 274.7 meV per atom. The magnetic moment comes out at 0.00 μB per cell. Its formation energy is 0.089 eV per atom.

It has space group P-6m2 (No. 187), with a = 5.4201 Å, b = 5.4201 Å, c = 4.1045 Å, α = 90.00°, β = 90.00° and γ = 120.00°. The asymmetric unit holds Ba at (0.0000, 0.0000, 0.0000), Y at (0.6667, 0.3333, 0.5000) and Al at (0.3333, 0.6667, 0.5000).

=====

Entry 12:
A plane-wave DFT calculation with PBE was carried out for a geometry-optimized BaY3Al structure.

As for the polymorph energy (0 for the lowest one): 1019.3 meV per atom. The magnetic moment comes out at 0.00 μB per cell. Its formation energy is 1.205 eV per atom.

It has space group Pm-3m (No. 221), with a = 5.6508 Å, b = 5.6508 Å, c = 5.6508 Å, α = 90.00°, β = 90.00° and γ = 90.00°. The asymmetric unit holds Ba at (0.0000, 0.0000, 0.0000), Y at (0.0000, 0.0000, 0.5000) and Al at (0.5000, 0.5000, 0.5000).

=====

Entry 13:
A plane-wave DFT calculation with PBE was carried out for a geometry-optimized Ba2YAl structure.

The magnetic moment comes out at 1.19 μB per cell. Its formation energy is 0.161 eV per atom.

It has space group P4/mmm (No. 123), with a = 4.0160 Å, b = 4.0160 Å, c = 9.9131 Å, α = 90.00°, β = 90.00° and γ = 90.00°. The asymmetric unit holds Ba at (0.0000, 0.0000, 0.2101), Y at (0.5000, 0.5000, 0.5000) and Al at (0.5000, 0.5000, 0.0000).

=====

Entry 14:
A plane-wave DFT calculation with PBE was carried out for a geometry-optimized BaYAl structure.

As for the polymorph energy (0 for the lowest one): 310.7 meV per atom. The magnetic moment comes out at 0.34 μB per cell. Its formation energy is 0.125 eV per atom.

It has space group P3m1 (No. 156), with a = 3.8499 Å, b = 3.8499 Å, c = 8.2876 Å, α = 90.00°, β = 90.00° and γ = 120.00°. The asymmetric unit holds Ba at (0.0000, 0.0000, 0.0000), Y at (0.6667, 0.3333, 0.4323) and Al at (0.3333, 0.6667, 0.6866).

=====

Entry 15:
A plane-wave DFT calculation with PBE was carried out for a geometry-optimized BaY4Al structure.

The magnetic moment comes out at 0.00 μB per cell. Its formation energy is 0.372 eV per atom.

It has space group F-43m (No. 216), with a = 9.3818 Å, b = 9.3818 Å, c = 9.3818 Å, α = 90.00°, β = 90.00° and γ = 90.00°. The asymmetric unit holds Ba at (0.0000, 0.0000, 0.0000), Y at (0.1238, 0.1238, 0.6238) and Al at (0.2500, 0.2500, 0.2500).

=====

Entry 16:
A plane-wave DFT calculation with PBE was carried out for a geometry-optimized Ba3YAl structure.

As for the polymorph energy (0 for the lowest one): 0.0 meV per atom. The magnetic moment comes out at 1.76 μB per cell. Its formation energy is 0.454 eV per atom.

It has space group Pm-3m (No. 221), with a = 6.5058 Å, b = 6.5058 Å, c = 6.5058 Å, α = 90.00°, β = 90.00° and γ = 90.00°. The asymmetric unit holds Ba at (0.0000, 0.0000, 0.5000), Y at (0.5000, 0.5000, 0.5000) and Al at (0.0000, 0.0000, 0.0000).

=====

Entry 17:
A plane-wave DFT calculation with PBE was carried out for a geometry-optimized Ba2YAl structure.

The magnetic moment comes out at 1.21 μB per cell. Its formation energy is 0.278 eV per atom.

It has space group R-3m (No. 166, hexagonal axes), with a = 3.9454 Å, b = 3.9454 Å, c = 36.0693 Å, α = 90.00°, β = 90.00° and γ = 120.00°. The asymmetric unit holds Ba at (0.0000, 0.0000, 0.2405), Y at (0.0000, 0.0000, 0.0000) and Al at (0.0000, 0.0000, 0.5000).

=====

Entry 18:
A plane-wave DFT calculation with PBE was carried out for a geometry-optimized Ba2YAl structure.

The magnetic moment comes out at 2.03 μB per cell. Its formation energy is 0.204 eV per atom.

It has space group I-4m2 (No. 119), with a = 5.4420 Å, b = 5.4420 Å, c = 9.8085 Å, α = 90.00°, β = 90.00° and γ = 90.00°. The asymmetric unit holds Ba at (0.0000, 0.0000, 0.0000), Ba at (0.0000, 0.5000, 0.2500), Y at (0.0000, 0.5000, 0.7500) and Al at (0.0000, 0.0000, 0.5000).

=====

Entry 19:
A plane-wave DFT calculation with PBE was carried out for a geometry-optimized Ba2YAl structure.

The magnetic moment comes out at 0.00 μB per cell. Its formation energy is 0.158 eV per atom.

It has space group I4/mmm (No. 139), with a = 5.1371 Å, b = 5.1371 Å, c = 10.9625 Å, α = 90.00°, β = 90.00° and γ = 90.00°. The asymmetric unit holds Ba at (0.0000, 0.5000, 0.2500), Y at (0.0000, 0.0000, 0.0000) and Al at (0.0000, 0.0000, 0.5000).

=====

Entry 20:
A plane-wave DFT calculation with PBE was carried out for a geometry-optimized BaYAl structure.

As for the polymorph energy (0 for the lowest one): 890.5 meV per atom. The magnetic moment comes out at 0.00 μB per cell. Its formation energy is 0.705 eV per atom.

It has space group F-43m (No. 216), with a = 7.5346 Å, b = 7.5346 Å, c = 7.5346 Å, α = 90.00°, β = 90.00° and γ = 90.00°. The asymmetric unit holds Ba at (0.0000, 0.0000, 0.0000), Y at (0.2500, 0.2500, 0.7500) and Al at (0.2500, 0.2500, 0.2500).